Record 1
Density functional theory data (PBE) for Sb3PdI after structural relaxation.

Output
The calculation puts the uncorrected energy at -3.463 eV/atom. For the calculated density, the calculation gives 6.619 Mg/m³. The formation energy (no corrections) is 0.359 eV/atom. Its symmetry is Pm-3m.

POSCAR file:
```
Sb3PdI
1.0
-4.567 1.396 -2.334
1.211 -3.040 -4.189
-2.435 -4.131 2.294
Sb Pd I
3 1 1
direct
0.500 0.000 0.000 Sb
0.000 0.000 0.500 Sb
0.000 0.500 0.000 Sb
0.000 0.000 0.000 Pd
0.500 0.500 0.500 I
```



Record 2
Density functional theory data (PBE) for CsLiOs3 after structural relaxation.

Output
The calculation puts the uncorrected energy at -4.839 eV/atom. For the calculated density, the calculation gives 12.978 Mg/m³. As for the formation energy: 2.45 eV per atom. Its symmetry is Pm-3m.

POSCAR file:
```
CsLiOs3
1.0
-1.427 2.260 3.616
-3.619 -2.658 0.233
2.255 -2.836 2.663
Os Cs Li
3 1 1
direct
0.000 0.500 0.000 Os
0.500 0.000 0.000 Os
0.000 0.000 0.500 Os
0.500 0.500 0.500 Cs
0.000 0.000 0.000 Li
```